Below is a relaxed CaAc2Ge4Pd3 crystal, with properties calculated at the GGA-PBE level.

Unit cell a=4.448 b=4.448 c=11.433 alpha=90.00 beta=90.00 gamma=90.00
Element x y z (fractional)
Ca 0.000 0.000 0.000
Ac 0.000 0.500 0.731
Ac 0.500 0.000 0.269
Ge 0.000 0.000 0.500
Ge 0.000 0.500 0.163
Ge 0.500 0.000 0.837
Ge 0.500 0.500 0.500
Pd 0.000 0.500 0.385
Pd 0.500 0.000 0.615
Pd 0.500 0.500 0.000

## Properties
**Volume**: 22.624 A^3/atom
**Total DFT energy (no corrections)**: -5.170 eV per atom
**ρ**: 8.10 g/cm³
**N(E_F)**: 6.848 states/eV/cell

Below is a relaxed Pr3ZnPb crystal, with properties calculated at the GGA-PBE level.

Unit cell a=4.451 b=8.263 c=8.824 alpha=91.43 beta=90.01 gamma=105.59
Element x y z (fractional)
Pr 0.045 0.090 0.294
Pr 0.245 0.492 0.691
Pr 0.399 0.801 0.056
Pr 0.601 0.199 0.944
Pr 0.755 0.508 0.309
Pr 0.955 0.910 0.706
Zn 0.214 0.425 0.067
Zn 0.786 0.575 0.933
Pb 0.398 0.795 0.434
Pb 0.602 0.205 0.566

## Properties
**Volume**: 31.250 A^3/atom
**Total DFT energy (no corrections)**: -4.161 eV per atom
**ρ**: 7.39 g/cm³
**N(E_F)**: 11.691 states/eV/cell

Below is a relaxed AcLuGaSi crystal, with properties calculated at the GGA-PBE level.

Unit cell a=5.221 b=5.221 c=5.221 alpha=60.00 beta=60.00 gamma=60.00
Element x y z (fractional)
Ac 0.000 0.000 0.000
Lu 0.500 0.500 0.500
Ga 0.750 0.750 0.750
Si 0.250 0.250 0.250

## Properties
**Volume**: 25.154 A^3/atom
**ΔE_f (raw)**: -0.3763 eV per atom
**Total DFT energy (no corrections)**: -4.646 eV per atom
**ρ**: 8.25 g/cm³
**N(E_F)**: 2.405 states/eV/cell

Below is a relaxed TbEr3Co crystal, with properties calculated at the GGA-PBE level.

Unit cell a=7.714 b=7.200 c=9.955 alpha=90.00 beta=107.41 gamma=90.00
Element x y z (fractional)
Tb 0.187 0.055 0.258
Tb 0.187 0.445 0.758
Tb 0.813 0.555 0.242
Tb 0.813 0.945 0.742
Er 0.083 0.705 0.033
Er 0.083 0.795 0.533
Er 0.292 0.510 0.382
Er 0.292 0.990 0.882
Er 0.415 0.128 0.607
Er 0.415 0.372 0.107
Er 0.585 0.628 0.893
Er 0.585 0.872 0.393
Er 0.708 0.010 0.118
Er 0.708 0.490 0.618
Er 0.917 0.205 0.467
Er 0.917 0.295 0.967
Co 0.454 0.747 0.608
Co 0.454 0.753 0.108
Co 0.546 0.247 0.892
Co 0.546 0.253 0.392

## Properties
**Volume**: 26.378 A^3/atom
**Total DFT energy (no corrections)**: -5.121 eV per atom
**ΔE to the lowest computed polymorph**: 0.024 eV/atom
**ρ**: 9.06 g/cm³
**N(E_F)**: 24.666 states/eV/cell

Below is a relaxed Y2Co2Ni15 crystal, with properties calculated at the GGA-PBE level.

Unit cell a=6.261 b=6.261 c=6.261 alpha=82.86 beta=82.86 gamma=82.86
Element x y z (fractional)
Y 0.158 0.158 0.158
Y 0.842 0.842 0.842
Co 0.407 0.407 0.407
Co 0.593 0.593 0.593
Ni 0.000 0.500 0.500
Ni 0.157 0.157 0.653
Ni 0.157 0.653 0.157
Ni 0.205 0.500 0.795
Ni 0.205 0.795 0.500
Ni 0.347 0.843 0.843
Ni 0.500 0.000 0.500
Ni 0.500 0.205 0.795
Ni 0.500 0.500 0.000
Ni 0.500 0.795 0.205
Ni 0.653 0.157 0.157
Ni 0.795 0.205 0.500
Ni 0.795 0.500 0.205
Ni 0.843 0.347 0.843
Ni 0.843 0.843 0.347

## Properties
**Volume**: 12.637 A^3/atom
**Total DFT energy (no corrections)**: -6.172 eV per atom
**ρ**: 8.13 g/cm³
**N(E_F)**: 23.218 states/eV/cell

Below is a relaxed Dy2PdN crystal, with properties calculated at the GGA-PBE level.

Unit cell a=3.189 b=3.189 c=6.765 alpha=90.00 beta=90.00 gamma=90.00
Element x y z (fractional)
Dy 0.000 0.000 0.213
Dy 0.000 0.000 0.787
Pd 0.500 0.500 0.500
N 0.500 0.500 0.000

## Properties
**Volume**: 17.196 A^3/atom
**ΔE_f (raw)**: -0.6917 eV per atom
**Total DFT energy (no corrections)**: -6.372 eV per atom
**ΔE to the lowest computed polymorph**: 0.376 eV/atom
**ρ**: 10.75 g/cm³
**N(E_F)**: 2.508 states/eV/cell

Below is a relaxed InB3Te crystal, with properties calculated at the GGA-PBE level.

Unit cell a=4.499 b=4.499 c=4.499 alpha=90.00 beta=90.00 gamma=90.00
Element x y z (fractional)
In 0.000 0.000 0.000
B 0.000 0.500 0.500
B 0.500 0.000 0.500
B 0.500 0.500 0.000
Te 0.500 0.500 0.500

## Properties
**Volume**: 18.207 A^3/atom
**ΔE_f (raw)**: 2.0364 eV per atom
**Total DFT energy (no corrections)**: -3.146 eV per atom
**ΔE to the lowest computed polymorph**: 0.000 eV/atom
**ρ**: 5.01 g/cm³
**N(E_F)**: 2.648 states/eV/cell

Below is a relaxed Zn2IrCl crystal, with properties calculated at the GGA-PBE level.

Unit cell a=3.122 b=3.048 c=7.129 alpha=90.00 beta=90.06 gamma=90.00
Element x y z (fractional)
Zn 0.001 0.000 0.208
Zn 0.999 0.000 0.792
Ir 0.500 0.500 0.000
Cl 0.000 0.500 0.500

## Properties
**Volume**: 16.957 A^3/atom
**ΔE_f (raw)**: -0.2653 eV per atom
**Total DFT energy (no corrections)**: -3.579 eV per atom
**ΔE to the lowest computed polymorph**: 0.000 eV/atom
**ρ**: 8.78 g/cm³
**N(E_F)**: 0.903 states/eV/cell